# 1
## TbDyTiN3 (PBE-GGA)

Data for TbDyTiN3 after structural relaxation.

Summary:
For the density of states at the Fermi level, the calculation gives 0.201 states/eV/atom. The total energy comes out at -100.51 eV per cell. As for the energy relative to the elements, uncorrected: -1.359 eV per atom. As for the space group: P2_1/m (11).

Cell lengths 3.281, 6.514, 9.230 Å; angles 91.85, 90.00, 90.00 degrees
Fractional positions:
1 Ti 0.250 0.139 0.574
2 Ti 0.750 0.861 0.426
3 Tb 0.750 0.820 0.761
4 Tb 0.250 0.180 0.239
5 N 0.750 0.386 0.129
6 N 0.750 0.182 0.458
7 N 0.250 0.818 0.542
8 N 0.750 0.882 0.215
9 N 0.250 0.118 0.785
10 N 0.250 0.614 0.871
11 Dy 0.250 0.658 0.117
12 Dy 0.750 0.342 0.883

# 2
## TaMoIrOs (PBE-GGA)

Data for TaMoIrOs after structural relaxation.

Summary:
For the density of states at the Fermi level, the calculation gives 1.242 states/eV/atom. The total energy comes out at -43.76 eV per cell. For the formation energy, the calculation gives -23.7 kJ/mol of atoms. As for the space group: Pmmm (47).

Cell lengths 4.051, 3.976, 3.873 Å; angles 90.00, 90.00, 90.00 degrees
Fractional positions:
1 Ir 0.000 0.500 0.500
2 Mo 0.500 0.500 0.000
3 Ta 0.000 0.000 0.000
4 Os 0.500 0.000 0.500

# 3
## SnPdC3 (PBE-GGA)

Data for SnPdC3 after structural relaxation.

Summary:
For the density of states at the Fermi level, the calculation gives 1.047 states/eV/atom. The offset from the most stable computed form comes out at 0 meV per atom. The total energy comes out at -24.48 eV per cell. For the formation energy, the calculation gives 239.0 kJ/mol of atoms. As for the space group: Pm-3m (221).

Cell lengths 4.109, 4.109, 4.109 Å; angles 90.00, 90.00, 90.00 degrees
Fractional positions:
1 Pd 0.000 0.000 0.000
2 C 0.000 0.000 0.500
3 C 0.500 0.000 0.000
4 C 0.000 0.500 0.000
5 Sn 0.500 0.500 0.500

# 4
## TaAgPb2 (PBE-GGA)

Data for TaAgPb2 after structural relaxation.

Summary:
For the density of states at the Fermi level, the calculation gives 0.757 states/eV/atom. The offset from the most stable computed form comes out at 87 meV per atom. The total energy comes out at -20.45 eV per cell. For the formation energy, the calculation gives 40.3 kJ/mol of atoms. As for the space group: R-3m (166).

Cell lengths 10.032, 10.032, 10.032 Å; angles 18.84, 18.84, 18.84 degrees
Fractional positions:
1 Ta 0.250 0.250 0.250
2 Pb 0.999 0.999 0.999
3 Pb 0.501 0.501 0.501
4 Ag 0.750 0.750 0.750

# 5
## CaTaSb3 (PBE-GGA)

Data for CaTaSb3 after structural relaxation.

Summary:
For the density of states at the Fermi level, the calculation gives 1.057 states/eV/atom. The offset from the most stable computed form comes out at 0 meV per atom. The total energy comes out at -26.02 eV per cell. As for the energy relative to the elements, uncorrected: 0.040 eV per atom. As for the space group: Pm-3m (221).

Cell lengths 5.411, 5.411, 5.411 Å; angles 90.00, 90.00, 90.00 degrees
Fractional positions:
1 Ca 0.500 0.500 0.500
2 Ta 0.000 0.000 0.000
3 Sb 0.000 0.500 0.000
4 Sb 0.500 0.000 0.000
5 Sb 0.000 0.000 0.500

# 6
## NpIn2HgBr6 (PBE-GGA)

Data for NpIn2HgBr6 after structural relaxation.

Summary:
For the density of states at the Fermi level, the calculation gives 0.317 states/eV/atom. The total energy comes out at -37.65 eV per cell. As for the energy relative to the elements, uncorrected: -0.889 eV per atom. As for the space group: R3 (146).

Cell lengths 8.850, 8.850, 8.850 Å; angles 54.63, 54.63, 54.63 degrees
Each line ends with the local moment (μB).
Fractional positions:
1 Br 0.216 0.650 0.971  -0.04
2 Br 0.971 0.216 0.650  -0.04
3 Br 0.385 0.040 0.841  -0.04
4 Br 0.040 0.841 0.385  -0.04
5 Br 0.841 0.385 0.040  -0.04
6 Br 0.650 0.971 0.216  -0.04
7 In 0.672 0.672 0.672  -0.01
8 In 0.199 0.199 0.199  -0.01
9 Np 0.015 0.015 0.015  3.26
10 Hg 0.511 0.511 0.511  -0.01

# 7
## BaScIn2Re (PBE-GGA)

Data for BaScIn2Re after structural relaxation.

Summary:
For the density of states at the Fermi level, the calculation gives 1.100 states/eV/atom. The total energy comes out at -16.61 eV per cell. For the formation energy, the calculation gives 184.7 kJ/mol of atoms. As for the space group: P4/mmm (123).

Cell lengths 5.842, 5.187, 5.842 Å; angles 90.00, 90.00, 90.00 degrees
Fractional positions:
1 In 0.000 0.000 0.500
2 In 0.500 0.000 0.000
3 Ba 0.000 0.000 0.000
4 Re 0.000 0.500 0.000
5 Sc 0.500 0.500 0.500

# 8
## SrLi2F4 (PBE-GGA)

Data for SrLi2F4 after structural relaxation.

Summary:
For the density of states at the Fermi level, the calculation gives 0.000 states/eV/atom. The offset from the most stable computed form comes out at 0 meV per atom. The total energy comes out at -72.21 eV per cell. As for the energy relative to the elements, uncorrected: -3.301 eV per atom. As for the space group: I-42d (122).

Cell lengths 6.236, 6.272, 6.273 Å; angles 75.69, 60.19, 60.19 degrees
Fractional positions:
1 F 0.055 0.739 0.346
2 F 0.543 0.762 0.845
3 F 0.611 0.845 0.238
4 F 0.139 0.261 0.654
5 F 0.600 0.346 0.261
6 F 0.695 0.155 0.762
7 F 0.150 0.238 0.155
8 F 0.207 0.654 0.739
9 Li 0.309 0.316 0.817
10 Li 0.875 0.816 0.684
11 Li 0.375 0.184 0.316
12 Li 0.441 0.684 0.183
13 Sr 0.000 0.000 0.000
14 Sr 0.750 0.500 0.500

# 9
## Na2CaPd (PBE-GGA)

Data for Na2CaPd after structural relaxation.

Summary:
For the density of states at the Fermi level, the calculation gives 0.399 states/eV/atom. The offset from the most stable computed form comes out at 0 meV per atom. The total energy comes out at -20.27 eV per cell. For the formation energy, the calculation gives -7.4 kJ/mol of atoms. As for the space group: I-42d (122).

Cell lengths 4.266, 4.266, 12.134 Å; angles 79.87, 79.87, 90.00 degrees
Fractional positions:
1 Na 0.656 0.125 0.250
2 Na 0.375 0.344 0.750
3 Na 0.094 0.625 0.250
4 Na 0.875 0.906 0.750
5 Ca 0.500 0.500 0.000
6 Ca 0.250 0.750 0.500
7 Pd 0.000 0.000 0.000
8 Pd 0.750 0.250 0.500

# 10
## Cs6CaF8 (PBE-GGA)

Data for Cs6CaF8 after structural relaxation.

Summary:
For the density of states at the Fermi level, the calculation gives 0.000 states/eV/atom. The total energy comes out at -65.18 eV per cell. As for the energy relative to the elements, uncorrected: -2.873 eV per atom. As for the space group: R-3 (148).

Cell lengths 7.710, 7.710, 7.710 Å; angles 69.06, 69.06, 69.06 degrees
Each line ends with the local moment (μB).
Fractional positions:
1 F 0.852 0.287 0.086  0.00
2 F 0.086 0.852 0.287  0.00
3 F 0.148 0.713 0.914  0.00
4 F 0.914 0.148 0.713  0.00
5 F 0.662 0.662 0.662  0.10
6 F 0.287 0.086 0.852  0.00
7 F 0.713 0.914 0.148  0.00
8 F 0.338 0.338 0.338  0.10
9 Cs 0.511 0.292 0.938  0.00
10 Cs 0.062 0.489 0.708  0.00
11 Cs 0.489 0.708 0.062  0.00
12 Cs 0.938 0.511 0.292  0.00
13 Cs 0.292 0.938 0.511  0.00
14 Cs 0.708 0.062 0.489  0.00
15 Ca 0.000 0.000 0.000  0.00

# 11
## Cr2CuPb (PBE-GGA)

Data for Cr2CuPb after structural relaxation.

Summary:
For the density of states at the Fermi level, the calculation gives 0.550 states/eV/atom. The total energy comes out at -24.72 eV per cell. For the formation energy, the calculation gives 56.2 kJ/mol of atoms. As for the space group: I4/mmm (139).

Cell lengths 4.745, 4.745, 4.745 Å; angles 125.24, 125.24, 81.14 degrees
Each line ends with the local moment (μB).
Fractional positions:
1 Cr 0.500 0.500 0.000  3.37
2 Cr 0.000 0.000 0.000  3.37
3 Cu 0.250 0.750 0.500  0.08
4 Pb 0.750 0.250 0.500  -0.13

# 12
## Tb2Zn4Cu5 (PBE-GGA)

Data for Tb2Zn4Cu5 after structural relaxation.

Summary:
For the density of states at the Fermi level, the calculation gives 0.327 states/eV/atom. The total energy comes out at -37.15 eV per cell. For the formation energy, the calculation gives -20.3 kJ/mol of atoms. As for the space group: Fmmm (69).

Cell lengths 5.332, 5.147, 8.315 Å; angles 80.44, 71.30, 58.81 degrees
Fractional positions:
1 Cu 0.000 0.500 0.000
2 Cu 0.500 0.500 0.000
3 Cu 0.250 0.500 0.500
4 Cu 0.500 0.000 0.000
5 Cu 0.750 0.500 0.500
6 Zn 0.472 0.314 0.743
7 Zn 0.785 0.686 0.743
8 Zn 0.528 0.686 0.257
9 Zn 0.215 0.314 0.257
10 Tb 0.134 0.000 0.731
11 Tb 0.866 0.000 0.269

# 13
## PrTh2Mg6 (PBE-GGA)

Data for PrTh2Mg6 after structural relaxation.

Summary:
For the density of states at the Fermi level, the calculation gives 0.917 states/eV/atom. The total energy comes out at -29.31 eV per cell. For the formation energy, the calculation gives -1.3 kJ/mol of atoms. As for the space group: R-3m (166).

Cell lengths 6.262, 6.262, 6.262 Å; angles 94.12, 94.11, 94.11 degrees
Fractional positions:
1 Th 0.340 0.340 0.340
2 Th 0.660 0.660 0.660
3 Mg 0.166 0.500 0.834
4 Mg 0.166 0.834 0.500
5 Mg 0.834 0.500 0.166
6 Mg 0.500 0.166 0.834
7 Mg 0.500 0.834 0.166
8 Mg 0.834 0.166 0.500
9 Pr 0.000 0.000 0.000

# 14
## CuNiHgPd (PBE-GGA)

Data for CuNiHgPd after structural relaxation.

Summary:
For the density of states at the Fermi level, the calculation gives 0.236 states/eV/atom. The total energy comes out at -15.09 eV per cell. For the formation energy, the calculation gives 6.7 kJ/mol of atoms. As for the space group: F-43m (216).

Cell lengths 4.387, 4.387, 4.387 Å; angles 60.00, 60.00, 60.00 degrees
Fractional positions:
1 Cu 0.250 0.250 0.250
2 Ni 0.000 0.000 0.000
3 Pd 0.500 0.500 0.500
4 Hg 0.750 0.750 0.750

# 15
## Pm2GaBPd6 (PBE-GGA)

Data for Pm2GaBPd6 after structural relaxation.

Summary:
For the density of states at the Fermi level, the calculation gives 0.440 states/eV/atom. The total energy comes out at -114.84 eV per cell. For the formation energy, the calculation gives -68.1 kJ/mol of atoms. As for the space group: Pmmn (59).

Cell lengths 5.740, 7.289, 8.745 Å; angles 90.00, 90.00, 90.00 degrees
Fractional positions:
1 B 0.000 0.815 0.000
2 B 0.500 0.185 0.500
3 Pd 0.000 0.848 0.241
4 Pd 0.761 0.985 0.500
5 Pd 0.745 0.398 0.500
6 Pd 0.755 0.602 0.000
7 Pd 0.500 0.152 0.741
8 Pd 0.255 0.398 0.500
9 Pd 0.239 0.985 0.500
10 Pd 0.261 0.015 0.000
11 Pd 0.000 0.848 0.759
12 Pd 0.739 0.015 0.000
13 Pd 0.500 0.152 0.259
14 Pd 0.245 0.602 0.000
15 Ga 0.500 0.323 0.000
16 Ga 0.000 0.677 0.500
17 Pm 0.500 0.715 0.283
18 Pm 0.000 0.285 0.217
19 Pm 0.000 0.285 0.783
20 Pm 0.500 0.715 0.717

# 16
## PaTlHgPd (PBE-GGA)

Data for PaTlHgPd after structural relaxation.

Summary:
For the density of states at the Fermi level, the calculation gives 0.875 states/eV/atom. The total energy comes out at -17.76 eV per cell. For the formation energy, the calculation gives -9.6 kJ/mol of atoms. As for the space group: F-43m (216).

Cell lengths 5.028, 5.028, 5.028 Å; angles 60.00, 60.00, 60.00 degrees
Fractional positions:
1 Tl 0.250 0.250 0.250
2 Pd 0.000 0.000 0.000
3 Pa 0.750 0.750 0.750
4 Hg 0.500 0.500 0.500

# 17
## KLaTe2 (PBE-GGA)

Data for KLaTe2 after structural relaxation.

Summary:
The total energy comes out at -17.74 eV per cell. As for the energy relative to the elements, uncorrected: -1.357 eV per atom. As for the space group: Imm2 (44).

Cell lengths 8.933, 8.933, 8.933 Å; angles 152.51, 151.01, 40.38 degrees
Fractional positions:
1 Te 0.063 0.063 0.000
2 Te 0.778 0.278 0.500
3 La 0.200 0.700 0.500
4 K 0.459 0.459 0.000

# 18
## LiHoGa4Ru2 (PBE-GGA)

Data for LiHoGa4Ru2 after structural relaxation.

Summary:
For the density of states at the Fermi level, the calculation gives 0.569 states/eV/atom. The total energy comes out at -40.39 eV per cell. For the formation energy, the calculation gives -39.0 kJ/mol of atoms. As for the space group: R-3m (166).

Cell lengths 4.250, 4.250, 8.727 Å; angles 75.91, 75.91, 60.00 degrees
Fractional positions:
1 Ru 0.235 0.235 0.295
2 Ru 0.765 0.765 0.705
3 Ga 0.398 0.398 0.806
4 Ga 0.131 0.131 0.607
5 Ga 0.869 0.869 0.393
6 Ga 0.602 0.602 0.194
7 Ho 0.000 0.000 0.000
8 Li 0.500 0.500 0.500

# 19
## Nd8TlSb2 (PBE-GGA)

Data for Nd8TlSb2 after structural relaxation.

Summary:
For the density of states at the Fermi level, the calculation gives 1.186 states/eV/atom. The total energy comes out at -53.36 eV per cell. As for the energy relative to the elements, uncorrected: -0.419 eV per atom. As for the space group: C2/m (12).

Cell lengths 5.053, 7.377, 10.207 Å; angles 99.62, 104.33, 90.00 degrees
Fractional positions:
1 Tl 0.500 0.000 0.000
2 Sb 0.820 0.236 0.639
3 Sb 0.180 0.764 0.361
4 Nd 0.664 0.020 0.328
5 Nd 0.595 0.490 0.190
6 Nd 0.336 0.980 0.672
7 Nd 0.017 0.756 0.034
8 Nd 0.784 0.651 0.568
9 Nd 0.983 0.244 0.966
10 Nd 0.405 0.510 0.810
11 Nd 0.216 0.349 0.432